# 1
SrCa2Ni2 (PBE, optimized geometry); energy above the lowest structure with this stoichiometry = 2.2 kJ/mol of atoms; calculated formation energy = -13 meV per atom; space group = P4/mbm
1.0
7.7288 0.0000 0.0000
0.0000 7.7288 0.0000
0.0000 0.0000 4.3058
Ca Ni Sr
4 4 2
direct
0.3407 0.1593 0.5000
0.1593 0.6593 0.5000
0.6593 0.8407 0.5000
0.8407 0.3407 0.5000
0.3920 0.8920 0.0000
0.1080 0.3920 0.0000
0.8920 0.6080 0.0000
0.6080 0.1080 0.0000
0.5000 0.5000 0.0000
0.0000 0.0000 0.0000



# 2
TlBiSe3 (PBE, optimized geometry); energy above the lowest structure with this stoichiometry = 0.0 kJ/mol of atoms; space group = P-6c2; ΔE_f (raw) = -0.1461 eV per atom
1.0
-0.9754 7.0594 0.8939
-5.8409 -1.2493 3.4929
6.0283 0.4059 3.3723
Se Bi Tl
6 2 2
direct
0.7500 0.6551 0.9862
0.2500 0.0138 0.3449
0.7500 0.0138 0.6689
0.2500 0.6551 0.6689
0.2500 0.3311 0.9862
0.7500 0.3311 0.3449
0.0000 0.0000 0.0000
0.5000 0.0000 0.0000
0.5000 0.6667 0.3333
0.0000 0.6667 0.3333



# 3
CeHgI (PBE, optimized geometry); energy above the lowest structure with this stoichiometry = 0.0 kJ/mol of atoms; space group = C2/m; ΔE_f (raw) = -0.7176 eV per atom
1.0
4.7305 0.0009 -0.0740
2.3641 4.0974 -0.0740
0.2101 0.1214 11.4264
Ce Hg I
2 2 2
direct
0.9992 0.9992 0.6749
0.0008 0.0008 0.3251
0.3335 0.3335 0.4662
0.6665 0.6665 0.5338
0.6683 0.6683 0.1612
0.3317 0.3317 0.8388



What did the second record say?
TlBiSe3 (PBE, optimized geometry); energy above the lowest structure with this stoichiometry = 0.0 kJ/mol of atoms; space group = P-6c2; ΔE_f (raw) = -0.1461 eV per atom
1.0
-0.9754 7.0594 0.8939
-5.8409 -1.2493 3.4929
6.0283 0.4059 3.3723
Se Bi Tl
6 2 2
direct
0.7500 0.6551 0.9862
0.2500 0.0138 0.3449
0.7500 0.0138 0.6689
0.2500 0.6551 0.6689
0.2500 0.3311 0.9862
0.7500 0.3311 0.3449
0.0000 0.0000 0.0000
0.5000 0.0000 0.0000
0.5000 0.6667 0.3333
0.0000 0.6667 0.3333